Arrangement 1

{"formula": "Hg8H", "functional": "PBE-GGA", "state": "relaxed", "dos_at_fermi_per_ev_atom": 0.197, "crystal_system": "trigonal", "sg": "P-3m1 (164)", "lattice": [[6.772, 0.000, 0.000], [-3.386, 5.865, 0.000], [0.000, 0.000, 5.551]], "species": ["Hg", "Hg", "Hg", "Hg", "Hg", "Hg", "Hg", "Hg", "H"], "frac_coords": [[0.170, 0.339, 0.236], [0.170, 0.830, 0.236], [0.333, 0.667, 0.719], [0.339, 0.170, 0.764], [0.661, 0.830, 0.236], [0.667, 0.333, 0.281], [0.830, 0.170, 0.764], [0.830, 0.661, 0.764], [0.000, 0.000, 0.500]]}

---

Arrangement 2

{"formula": "Hg8H", "functional": "PBE-GGA", "state": "relaxed", "dos_at_fermi_per_ev_atom": 0.349, "crystal_system": "tetragonal", "sg": "I4/mmm (139)", "lattice": [[-5.471, 5.471, 1.915], [5.471, -5.471, 1.915], [5.471, 5.471, -1.915]], "species": ["Hg", "Hg", "Hg", "Hg", "Hg", "Hg", "Hg", "Hg", "H"], "frac_coords": [[0.000, 0.330, 0.330], [0.000, 0.670, 0.670], [0.330, 0.000, 0.330], [0.355, 0.355, 0.710], [0.355, 0.645, 0.000], [0.645, 0.355, 0.000], [0.645, 0.645, 0.290], [0.670, 0.000, 0.670], [0.000, 0.000, 0.000]]}

---

Most favorable first, least favorable last: arrangement 1, arrangement 2

---

Arrangement 1

{"formula": "Ho3HgH", "functional": "PBE-GGA", "state": "relaxed", "dos_at_fermi_per_ev_atom": 0.906, "crystal_system": "monoclinic", "sg": "P2_1/m (11)", "lattice": [[6.644, 0.000, 0.000], [0.000, 3.546, 0.000], [-1.596, 0.000, 9.800]], "species": ["Ho", "Ho", "Ho", "Ho", "Ho", "Ho", "Hg", "Hg", "H", "H"], "frac_coords": [[0.082, 0.250, 0.362], [0.230, 0.250, 0.912], [0.398, 0.750, 0.633], [0.602, 0.250, 0.367], [0.770, 0.750, 0.088], [0.918, 0.750, 0.638], [0.297, 0.750, 0.171], [0.703, 0.250, 0.829], [0.172, 0.250, 0.678], [0.828, 0.750, 0.322]]}

---

Arrangement 2

{"formula": "Ho3HgH", "functional": "PBE-GGA", "state": "relaxed", "dos_at_fermi_per_ev_atom": 1.184, "crystal_system": "cubic", "sg": "Pm-3m (221)", "lattice": [[4.792, 0.000, 0.000], [0.000, 4.792, 0.000], [0.000, 0.000, 4.792]], "species": ["Ho", "Ho", "Ho", "Hg", "H"], "frac_coords": [[0.000, 0.000, 0.500], [0.000, 0.500, 0.000], [0.500, 0.000, 0.000], [0.500, 0.500, 0.500], [0.000, 0.000, 0.000]]}

---

Most favorable first, least favorable last: arrangement 1, arrangement 2

---

Arrangement 1

{"formula": "HgHI2", "functional": "PBE-GGA", "state": "relaxed", "dos_at_fermi_per_ev_atom": 1.157, "crystal_system": "tetragonal", "sg": "I-42d (122)", "lattice": [[-3.449, 3.449, 4.939], [3.449, -3.449, 4.939], [3.449, 3.449, -4.939]], "species": ["Hg", "Hg", "H", "H", "I", "I", "I", "I"], "frac_coords": [[0.000, 0.000, 0.000], [0.750, 0.250, 0.500], [0.250, 0.750, 0.500], [0.500, 0.500, 0.000], [0.220, 0.625, 0.095], [0.375, 0.470, 0.595], [0.530, 0.125, 0.905], [0.875, 0.780, 0.405]]}

---

Arrangement 2

{"formula": "HgHI2", "functional": "PBE-GGA", "state": "relaxed", "dos_at_fermi_per_ev_atom": 0.000, "crystal_system": "monoclinic", "sg": "P2/c (13)", "lattice": [[8.373, 0.000, 0.000], [0.000, 7.699, 0.000], [-6.314, 0.000, 10.630]], "species": ["Hg", "Hg", "Hg", "Hg", "H", "H", "H", "H", "I", "I", "I", "I", "I", "I", "I", "I"], "frac_coords": [[0.000, 0.162, 0.143], [0.000, 0.162, 0.357], [0.000, 0.838, 0.643], [0.000, 0.838, 0.857], [0.385, 0.243, 0.972], [0.385, 0.757, 0.472], [0.615, 0.243, 0.528], [0.615, 0.757, 0.028], [0.058, 0.247, 0.948], [0.058, 0.753, 0.448], [0.463, 0.254, 0.576], [0.463, 0.746, 0.076], [0.537, 0.254, 0.924], [0.537, 0.746, 0.424], [0.942, 0.247, 0.552], [0.942, 0.753, 0.052]]}

---

Most favorable first, least favorable last: arrangement 2, arrangement 1

---

Arrangement 1

{"formula": "Hg3HI", "functional": "PBE-GGA", "state": "relaxed", "dos_at_fermi_per_ev_atom": 0.789, "crystal_system": "cubic", "sg": "Pm-3m (221)", "lattice": [[6.621, 0.000, 0.000], [0.000, 6.621, 0.000], [0.000, 0.000, 6.621]], "species": ["Hg", "Hg", "Hg", "H", "I"], "frac_coords": [[0.000, 0.000, 0.500], [0.000, 0.500, 0.000], [0.500, 0.000, 0.000], [0.500, 0.500, 0.500], [0.000, 0.000, 0.000]]}

---

Arrangement 2

{"formula": "Hg3HI", "functional": "PBE-GGA", "state": "relaxed", "crystal_system": "triclinic", "sg": "P-1 (2)", "lattice": [[7.030, 0.000, 0.000], [2.787, 6.455, 0.000], [0.500, 2.885, 6.701]], "species": ["Hg", "Hg", "Hg", "Hg", "Hg", "Hg", "H", "H", "I", "I"], "frac_coords": [[0.151, 0.269, 0.242], [0.242, 0.075, 0.714], [0.262, 0.526, 0.744], [0.738, 0.474, 0.256], [0.758, 0.925, 0.286], [0.849, 0.731, 0.758], [0.407, 0.130, 0.225], [0.593, 0.870, 0.775], [0.298, 0.686, 0.223], [0.702, 0.314, 0.777]]}

---

Most favorable first, least favorable last: arrangement 2, arrangement 1

---

Arrangement 1

{"formula": "HgH2I", "functional": "PBE-GGA", "state": "relaxed", "dos_at_fermi_per_ev_atom": 0.740, "crystal_system": "cubic", "sg": "Fm-3m (225)", "lattice": [[0.000, 3.187, 3.187], [3.187, 0.000, 3.187], [3.187, 3.187, 0.000]], "species": ["Hg", "H", "H", "I"], "frac_coords": [[0.000, 0.000, 0.000], [0.250, 0.250, 0.250], [0.750, 0.750, 0.750], [0.500, 0.500, 0.500]]}

---

Arrangement 2

{"formula": "HgH2I", "functional": "PBE-GGA", "state": "relaxed", "dos_at_fermi_per_ev_atom": 1.188, "crystal_system": "tetragonal", "sg": "I4_1/amd (141)", "lattice": [[-3.011, 3.011, 4.275], [3.011, -3.011, 4.275], [3.011, 3.011, -4.275]], "species": ["Hg", "Hg", "H", "H", "H", "H", "I", "I"], "frac_coords": [[0.375, 0.625, 0.750], [0.625, 0.375, 0.250], [0.000, 0.500, 0.500], [0.500, 0.000, 0.000], [0.500, 0.500, 0.000], [0.500, 0.500, 0.500], [0.125, 0.875, 0.250], [0.875, 0.125, 0.750]]}

---

Most favorable first, least favorable last: arrangement 2, arrangement 1

---

Arrangement 1

{"formula": "HgHI2N", "functional": "PBE-GGA", "state": "relaxed", "dos_at_fermi_per_ev_atom": 0.450, "crystal_system": "tetragonal", "sg": "P4/mmm (123)", "lattice": [[7.461, 0.000, 0.000], [0.000, 7.461, 0.000], [0.000, 0.000, 2.862]], "species": ["Hg", "H", "I", "I", "N"], "frac_coords": [[0.000, 0.000, 0.000], [0.500, 0.500, 0.500], [0.000, 0.500, 0.500], [0.500, 0.000, 0.500], [0.500, 0.500, 0.000]]}

---

Arrangement 2

{"formula": "HgHI2N", "functional": "PBE-GGA", "state": "relaxed", "dos_at_fermi_per_ev_atom": 0.997, "crystal_system": "tetragonal", "sg": "P4/mmm (123)", "lattice": [[6.165, 0.000, 0.000], [0.000, 6.165, 0.000], [0.000, 0.000, 4.218]], "species": ["Hg", "H", "I", "I", "N"], "frac_coords": [[0.000, 0.000, 0.000], [0.500, 0.500, 0.500], [0.000, 0.500, 0.000], [0.500, 0.000, 0.000], [0.000, 0.000, 0.500]]}

---

Most favorable first, least favorable last: arrangement 1, arrangement 2